[1]
DFT (PBE-GGA) results for KTa2Mo after structural relaxation.

The structure in POSCAR format:
```
KTa2Mo
1.0
2.684 0.000 0.000
0.000 5.485 0.000
0.000 0.000 5.531
K Ta Mo
1 2 1
Direct
0.000 0.000 0.000
0.000 0.500 0.500
0.500 0.000 0.500
0.500 0.500 0.000
```

Results
Space group: No. 47
M_tot (μB/f.u.): 0.004
Volume (Å³ per cell): 81.42
DOS at the Fermi energy (states/eV per cell): 4.87
Electronic total energy (eV/atom): -7.40
Energy relative to the elements (meV per atom): 1506

[2]
DFT (PBE-GGA) results for TlOs2 after structural relaxation.

The structure in POSCAR format:
```
TlOs2
1.0
4.674 0.000 0.000
-2.337 4.048 0.000
0.000 0.000 5.416
Tl Os
2 4
Direct
0.333 0.667 0.250
0.667 0.333 0.750
0.000 0.000 0.000
0.000 0.000 0.500
0.333 0.667 0.750
0.667 0.333 0.250
```

Results
Space group: No. 194
M_tot (μB/f.u.): 1.091
Volume (Å³ per cell): 102.46
DOS at the Fermi energy (states/eV per cell): 6.71
Electronic total energy (eV/atom): -6.90
Energy relative to the elements (meV per atom): 1378

[3]
DFT (PBE-GGA) results for Na3Mg2Cd4 after structural relaxation.

The structure in POSCAR format:
```
Na3Mg2Cd4
1.0
5.077 0.000 0.000
2.509 4.447 0.000
0.084 0.163 9.613
Na Mg Cd
3 2 4
Direct
0.000 0.000 0.000
0.333 0.333 0.444
0.667 0.667 0.556
0.334 0.334 0.795
0.666 0.666 0.205
0.000 0.000 0.326
0.000 0.000 0.674
0.333 0.331 0.122
0.667 0.669 0.878
```

Results
Space group: No. 2
M_tot (μB/f.u.): 0.000
Volume (Å³ per cell): 217.02
DOS at the Fermi energy (states/eV per cell): 2.54
Electronic total energy (eV/atom): -1.27
Energy relative to the elements (meV per atom): -67

[4]
DFT (PBE-GGA) results for TlCd10Bi after structural relaxation.

The structure in POSCAR format:
```
TlCd10Bi
1.0
4.909 0.000 0.000
0.000 6.073 0.000
0.000 0.000 10.393
Tl Cd Bi
1 10 1
Direct
0.000 0.000 0.000
0.000 0.000 0.339
0.000 0.000 0.661
0.000 0.500 0.173
0.000 0.500 0.827
0.500 0.000 0.500
0.500 0.246 0.245
0.500 0.246 0.755
0.500 0.500 0.000
0.500 0.754 0.245
0.500 0.754 0.755
0.000 0.500 0.500
```

Results
Space group: No. 47
M_tot (μB/f.u.): 0.000
Volume (Å³ per cell): 309.81
DOS at the Fermi energy (states/eV per cell): 5.45
Electronic total energy (eV/atom): -1.19
Energy relative to the elements (meV per atom): 93

electronic total energy of number 1 (KTa2Mo)? -7.40 eV/atom

Repeat the second record exactly.
DFT (PBE-GGA) results for TlOs2 after structural relaxation.

The structure in POSCAR format:
```
TlOs2
1.0
4.674 0.000 0.000
-2.337 4.048 0.000
0.000 0.000 5.416
Tl Os
2 4
Direct
0.333 0.667 0.250
0.667 0.333 0.750
0.000 0.000 0.000
0.000 0.000 0.500
0.333 0.667 0.750
0.667 0.333 0.250
```

Results
Space group: No. 194
M_tot (μB/f.u.): 1.091
Volume (Å³ per cell): 102.46
DOS at the Fermi energy (states/eV per cell): 6.71
Electronic total energy (eV/atom): -6.90
Energy relative to the elements (meV per atom): 1378